! PBE-GGA LiGdDyCo, optimized geometry; values from VASP
&SYSTEM
  ibrav = 0, nat = 4, ntyp = 4
/
ATOMIC_SPECIES
Li 6.94 Li.upf
Gd 157.25 Gd.upf
Dy 162.50 Dy.upf
Co 58.93 Co.upf
CELL_PARAMETERS angstrom
0.000 3.451 3.451
3.451 0.000 3.451
3.451 3.451 0.000
ATOMIC_POSITIONS crystal
Li 0.000 0.000 0.000
Gd 0.250 0.250 0.250
Dy 0.750 0.750 0.750
Co 0.500 0.500 0.500
! Space-group type: F-43m
! Magnetization, μB/cell: 7.14
! ΔE_f, eV per atom: -0.0582
! Density of states at the Fermi level, states/eV per cell: 3.12
! Total DFT energy (no corrections), eV/atom: -6.984
! Volume, Å³/cell: 82